Computed, not measured: an optimized crystal structure of KCaAg2 at the PBE level of DFT.

abc: 3.7533 3.7533 8.9898
angles: 90.00 90.00 90.00
With the nearest neighbours (Å) after each atom.
Element x y z (fractional)
K 0.0000 0.0000 0.0000  5 Ag 3.54-3.56, 4 K 3.75
Ca 0.5000 0.5000 0.5940  5 Ag 2.99-3.20
Ag 0.0000 0.0000 0.3961  4 Ag 2.92, 4 Ca 3.20
Ag 0.5000 0.5000 0.2609  4 Ag 2.92, 1 Ca 2.99

calculated density: 3.867 Mg/m³
E above lowest polymorph: 0.1375 eV/atom
DFT formation energy: 0.01 eV/f.u.

Computed, not measured: an optimized crystal structure of TbGdLuAl at the PBE level of DFT.

abc: 5.3260 5.3260 5.3260
angles: 60.00 60.00 60.00
With the nearest neighbours (Å) after each atom.
Element x y z (fractional)
Tb 0.0000 0.0000 0.0000  4 Al 3.26, 4 Lu 3.26
Gd 0.5000 0.5000 0.5000  4 Al 3.26, 4 Lu 3.26
Lu 0.2500 0.2500 0.2500  4 Gd 3.26, 4 Tb 3.26
Al 0.7500 0.7500 0.7500  4 Gd 3.26, 4 Tb 3.26

calculated density: 8.053 Mg/m³
DFT formation energy: -0.37 eV/f.u.

Computed, not measured: an optimized crystal structure of CrTcRhAu2 at the PBE level of DFT.

abc: 4.8654 4.8654 4.3564
angles: 90.00 90.00 90.00
With the nearest neighbours (Å) after each atom.
Element x y z (fractional)
Cr 0.0000 0.0000 0.0000  2 Rh 2.18, 4 Au 2.43
Tc 0.5000 0.5000 0.5000  8 Au 3.27, 4 Rh 3.44
Rh 0.0000 0.0000 0.5000  2 Cr 2.18
Au 0.0000 0.5000 0.0000  2 Cr 2.43
Au 0.5000 0.0000 0.0000  2 Cr 2.43

calculated density: 10.415 Mg/m³
DFT formation energy: 6.70 eV/f.u.

Computed, not measured: an optimized crystal structure of BaLaP2S at the PBE level of DFT.

abc: 5.3443 5.3443 5.5410
angles: 90.00 90.00 90.00
With the nearest neighbours (Å) after each atom.
Element x y z (fractional)
Ba 0.0000 0.0000 0.0000  4 P 2.67, 2 S 2.77
La 0.5000 0.5000 0.5000  4 S 3.78, 8 P 3.85
P 0.0000 0.5000 0.0000  2 Ba 2.67
P 0.5000 0.0000 0.0000  2 Ba 2.67
S 0.0000 0.0000 0.5000  2 Ba 2.77

E_form (uncorrected): 0.13 eV/atom
calculated density: 3.885 Mg/m³
E above lowest polymorph: 0.7394 eV/atom

Computed, not measured: an optimized crystal structure of PrDy12Er7 at the PBE level of DFT.

abc: 8.6836 8.6836 8.6836
angles: 86.81 86.81 86.81
With the nearest neighbours (Å) after each atom.
Element x y z (fractional)
Pr 0.0000 0.0000 0.0000  6 Er 3.33
Dy 0.1039 0.3457 0.4310  6 Dy 3.38-3.74, 3 Er 3.40-3.74
Dy 0.2313 0.7603 0.3526  4 Er 3.21-3.41, 2 Dy 3.51-3.53
Dy 0.2397 0.6474 0.7687  4 Er 3.21-3.41, 2 Dy 3.51-3.53
Dy 0.3457 0.4310 0.1039  6 Dy 3.38-3.74, 3 Er 3.40-3.74
Dy 0.3526 0.2313 0.7603  4 Er 3.21-3.41, 2 Dy 3.51-3.53
Dy 0.4310 0.1039 0.3457  6 Dy 3.38-3.74, 3 Er 3.40-3.74
Dy 0.5690 0.8961 0.6543  6 Dy 3.38-3.74, 3 Er 3.40-3.74
Dy 0.6474 0.7687 0.2397  4 Er 3.21-3.41, 2 Dy 3.51-3.53
Dy 0.6543 0.5690 0.8961  6 Dy 3.38-3.74, 3 Er 3.40-3.74
Dy 0.7603 0.3526 0.2313  4 Er 3.21-3.41, 2 Dy 3.51-3.53
Dy 0.7687 0.2397 0.6474  4 Er 3.21-3.41, 2 Dy 3.51-3.53
Dy 0.8961 0.6543 0.5690  6 Dy 3.38-3.74, 3 Er 3.40-3.74
Er 0.0029 0.3693 0.8767  1 Er 3.20, 4 Dy 3.21-3.40, 1 Pr 3.33
Er 0.1233 0.9971 0.6307  1 Er 3.20, 4 Dy 3.21-3.40, 1 Pr 3.33
Er 0.3693 0.8767 0.0029  1 Er 3.20, 4 Dy 3.21-3.40, 1 Pr 3.33
Er 0.5000 0.5000 0.5000  6 Dy 3.41
Er 0.6307 0.1233 0.9971  1 Er 3.20, 4 Dy 3.21-3.40, 1 Pr 3.33
Er 0.8767 0.0029 0.3693  1 Er 3.20, 4 Dy 3.21-3.40, 1 Pr 3.33
Er 0.9971 0.6307 0.1233  1 Er 3.20, 4 Dy 3.21-3.40, 1 Pr 3.33

calculated density: 8.309 Mg/m³
E above lowest polymorph: 0.0000 eV/atom
DFT formation energy: 4.83 eV/f.u.

Computed, not measured: an optimized crystal structure of LiZrCd2F at the PBE level of DFT.

abc: 5.8678 5.8678 4.1053
angles: 90.00 90.00 90.00
With the nearest neighbours (Å) after each atom.
Element x y z (fractional)
Li 0.0000 0.0000 0.0000  8 Cd 3.58
Zr 0.5000 0.5000 0.5000  2 F 2.05
Cd 0.0000 0.5000 0.5000  2 Zr 2.93
Cd 0.5000 0.0000 0.5000  2 Zr 2.93
F 0.5000 0.5000 0.0000  2 Zr 2.05

E_form (uncorrected): -0.49 eV/atom
calculated density: 4.017 Mg/m³

Computed, not measured: an optimized crystal structure of KAlAsRu2 at the PBE level of DFT.

abc: 4.6197 4.6197 5.3725
angles: 90.00 90.00 90.00
With the nearest neighbours (Å) after each atom.
Element x y z (fractional)
K 0.0000 0.0000 0.0000  2 As 2.69
Al 0.5000 0.5000 0.0000  4 K 3.27, 8 Ru 3.54
As 0.0000 0.0000 0.5000  4 Ru 2.31
Ru 0.0000 0.5000 0.5000  2 As 2.31
Ru 0.5000 0.0000 0.5000  2 As 2.31

calculated density: 4.970 Mg/m³
DFT formation energy: 4.65 eV/f.u.

Computed, not measured: an optimized crystal structure of HoTmSe2 at the PBE level of DFT.

abc: 6.7154 7.2727 3.8729
angles: 90.00 90.00 90.00
With the nearest neighbours (Å) after each atom.
Element x y z (fractional)
Ho 0.0000 0.0000 0.0000  6 Se 2.88-2.89
Ho 0.5000 0.5000 0.5000  6 Se 2.88-2.89
Tm 0.0000 0.5000 0.0000  6 Se 2.88-2.89
Tm 0.5000 0.0000 0.5000  6 Se 2.88-2.89
Se 0.1666 0.2514 0.5000  3 Tm 2.88-2.89, 3 Ho 2.88-2.89
Se 0.3334 0.7514 0.0000  3 Tm 2.88-2.89, 3 Ho 2.88-2.89
Se 0.6666 0.2486 0.0000  3 Tm 2.88-2.89, 3 Ho 2.88-2.89
Se 0.8334 0.7486 0.5000  3 Tm 2.88-2.89, 3 Ho 2.88-2.89

E_form (uncorrected): -1.65 eV/atom
calculated density: 8.635 Mg/m³
E above lowest polymorph: 0.0427 eV/atom

Computed, not measured: an optimized crystal structure of LiGa2Ge2 at the PBE level of DFT.

abc: 6.0164 6.0164 6.0164
angles: 135.60 135.60 64.60
With the nearest neighbours (Å) after each atom.
Element x y z (fractional)
Li 0.0000 0.0000 0.0000  8 Ga 3.41, 8 Ge 3.45
Ga 0.2500 0.7500 0.5000  4 Ge 2.62
Ga 0.7500 0.2500 0.5000  4 Ge 2.62
Ge 0.3780 0.3780 0.0000  1 Ge 2.48, 4 Ga 2.62
Ge 0.6220 0.6220 0.0000  1 Ge 2.48, 4 Ga 2.62

calculated density: 4.607 Mg/m³
E above lowest polymorph: 0.0000 eV/atom
DFT formation energy: -0.13 eV/f.u.

Computed, not measured: an optimized crystal structure of MgRe at the PBE level of DFT.

abc: 7.5765 7.5765 7.5765
angles: 90.00 90.00 90.00
With the nearest neighbours (Å) after each atom.
Element x y z (fractional)
Mg 0.0000 0.2500 0.5000  4 Re 2.68
Mg 0.0000 0.7500 0.5000  4 Re 2.68
Mg 0.2500 0.5000 0.0000  4 Re 2.68
Mg 0.5000 0.0000 0.2500  4 Re 2.68
Mg 0.5000 0.0000 0.7500  4 Re 2.68
Mg 0.7500 0.5000 0.0000  4 Re 2.68
Re 0.0000 0.5000 0.2500  4 Mg 2.68
Re 0.0000 0.5000 0.7500  4 Mg 2.68
Re 0.2500 0.0000 0.5000  4 Mg 2.68
Re 0.5000 0.2500 0.0000  4 Mg 2.68
Re 0.5000 0.7500 0.0000  4 Mg 2.68
Re 0.7500 0.0000 0.5000  4 Mg 2.68

calculated density: 4.823 Mg/m³
E above lowest polymorph: 2.9136 eV/atom
DFT formation energy: 5.96 eV/f.u.

Computed, not measured: an optimized crystal structure of LaAgOs2 at the PBE level of DFT.

abc: 10.3724 10.3724 10.3724
angles: 15.77 15.77 15.77
With the nearest neighbours (Å) after each atom.
Element x y z (fractional)
La 0.0000 0.0000 0.0000  6 La 2.85
Ag 0.5000 0.5000 0.5000  6 Ag 2.85, 6 Os 2.89
Os 0.2440 0.2440 0.2440  6 Os 2.85, 3 Ag 2.89
Os 0.7560 0.7560 0.7560  6 Os 2.85, 3 Ag 2.89

calculated density: 14.500 Mg/m³
E above lowest polymorph: 0.5632 eV/atom
DFT formation energy: 3.40 eV/f.u.

Computed, not measured: an optimized crystal structure of Dy5TmSc2 at the PBE level of DFT.

abc: 8.7637 8.7637 8.7637
angles: 119.96 119.96 90.06
With the nearest neighbours (Å) after each atom.
Element x y z (fractional)
Dy 0.0000 0.0000 0.0000  2 Tm 3.10, 4 Sc 3.38
Dy 0.0072 0.5072 0.1969  3 Sc 3.22-3.24, 3 Dy 3.33-3.49, 2 Tm 3.52
Dy 0.1897 0.9928 0.5000  3 Sc 3.22-3.24, 3 Dy 3.33-3.49, 2 Tm 3.52
Dy 0.3103 0.8103 0.8031  3 Sc 3.22-3.24, 3 Dy 3.33-3.49, 2 Tm 3.52
Dy 0.4928 0.6897 0.5000  3 Sc 3.22-3.24, 3 Dy 3.33-3.49, 2 Tm 3.52
Dy 0.5000 0.5000 0.0000  2 Tm 3.10, 4 Sc 3.38
Dy 0.5072 0.3103 0.5000  3 Sc 3.22-3.24, 3 Dy 3.33-3.49, 2 Tm 3.52
Dy 0.6897 0.1897 0.1969  3 Sc 3.22-3.24, 3 Dy 3.33-3.49, 2 Tm 3.52
Dy 0.8103 0.0072 0.5000  3 Sc 3.22-3.24, 3 Dy 3.33-3.49, 2 Tm 3.52
Dy 0.9928 0.4928 0.8031  3 Sc 3.22-3.24, 3 Dy 3.33-3.49, 2 Tm 3.52
Tm 0.2500 0.2500 0.0000  2 Dy 3.10
Tm 0.7500 0.7500 0.0000  2 Dy 3.10
Sc 0.1424 0.3576 0.5000  8 Dy 3.22-3.38, 1 Sc 3.53
Sc 0.3576 0.8576 0.2153  8 Dy 3.22-3.38, 1 Sc 3.53
Sc 0.6424 0.1424 0.7847  8 Dy 3.22-3.38, 1 Sc 3.53
Sc 0.8576 0.6424 0.5000  8 Dy 3.22-3.38, 1 Sc 3.53

calculated density: 7.472 Mg/m³
E above lowest polymorph: 0.0818 eV/atom
DFT formation energy: 0.84 eV/f.u.